Compound: Cs8Bi2Au
Source: the Alexandria database
Functional: PBE
Structure: relaxed

Output
**ΔH_f (0 K)**: -281.1 meV/atom
**DFT total energy**: -1.905 eV/atom

Unit cell a=11.5495 b=11.5495 c=11.5495 alpha=146.37 beta=133.49 gamma=58.61
Last column: nearest neighbours and their distance in Å.
Fractional coordinates of all 11 atoms:
Cs (0.1140, 0.3580, 0.7560)  1 Au 3.69, 1 Cs 3.96, 2 Bi 4.09
Cs (0.1952, 0.1952, 0.0000)  6 Cs 3.96-4.21, 2 Bi 4.17
Cs (0.2743, 0.0000, 0.2743)  5 Cs 4.12-4.40, 2 Au 4.17, 2 Bi 4.19
Cs (0.3980, 0.6420, 0.7560)  1 Au 3.69, 1 Cs 3.96, 2 Bi 4.09
Cs (0.6020, 0.3580, 0.2440)  1 Au 3.69, 1 Cs 3.96, 2 Bi 4.09
Cs (0.7257, 0.0000, 0.7257)  5 Cs 4.12-4.40, 2 Au 4.17, 2 Bi 4.19
Cs (0.8048, 0.8048, 0.0000)  6 Cs 3.96-4.21, 2 Bi 4.17
Cs (0.8860, 0.6420, 0.2440)  1 Au 3.69, 1 Cs 3.96, 2 Bi 4.09
Bi (0.3191, 0.8191, 0.5000)  12 Cs 4.09-4.57
Bi (0.6809, 0.1809, 0.5000)  12 Cs 4.09-4.57
Au (0.0000, 0.5000, 0.5000)  4 Cs 3.69